No. 1
A plane-wave DFT calculation with GGA-PBE was carried out for crystalline Na2Si2Os at its relaxed geometry.

Values from the calculation:
The value obtained for the total energy is -4.789 eV per atom. Its symmetry is P4/mbm (127).

```
Na2Si2Os
1.0
-2.523 -4.392 -3.555
5.483 -2.842 -0.381
-1.120 -2.718 4.153
Na Si Os
4 4 2
direct
0.184 0.684 0.500
0.684 0.816 0.500
0.816 0.316 0.500
0.316 0.184 0.500
0.357 0.857 0.000
0.857 0.643 0.000
0.643 0.143 0.000
0.143 0.357 0.000
0.000 0.000 0.000
0.500 0.500 0.000
```



No. 2
A plane-wave DFT calculation with GGA-PBE was carried out for crystalline NaSiOs3 at its relaxed geometry.

Values from the calculation:
Its relative energy among the computed polymorphs is 0 kJ/mol of formula units. Its symmetry is Pm-3m (221).

```
NaSiOs3
1.0
4.466 0.000 0.000
0.000 4.466 0.000
0.000 0.000 4.466
Na Si Os
1 1 3
direct
0.500 0.500 0.500
0.000 0.000 0.000
0.000 0.500 0.000
0.000 0.000 0.500
0.500 0.000 0.000
```



No. 3
A plane-wave DFT calculation with GGA-PBE was carried out for crystalline NaSiOs3 at its relaxed geometry.

Values from the calculation:
Its relative energy among the computed polymorphs is 906 kJ/mol of formula units. Its symmetry is Pm-3m (221).

```
NaSiOs3
1.0
4.432 0.000 0.000
0.000 4.432 0.000
0.000 0.000 4.432
Na Si Os
1 1 3
direct
0.000 0.000 0.000
0.500 0.500 0.500
0.000 0.500 0.000
0.000 0.000 0.500
0.500 0.000 0.000
```



No. 4
A plane-wave DFT calculation with GGA-PBE was carried out for crystalline NaSi2Os at its relaxed geometry.

Values from the calculation:
Its relative energy among the computed polymorphs is 1 kJ/mol of formula units. Its symmetry is Fm-3m (225).

```
NaSi2Os
1.0
-0.644 -3.622 -2.254
-2.661 -3.040 1.515
-3.798 -0.697 -1.924
Na Si Os
1 2 1
direct
0.000 0.000 0.000
0.250 0.250 0.250
0.750 0.750 0.750
0.500 0.500 0.500
```



No. 5
A plane-wave DFT calculation with GGA-PBE was carried out for crystalline NaSi2Os at its relaxed geometry.

Values from the calculation:
Its relative energy among the computed polymorphs is 0 kJ/mol of formula units. Its symmetry is I4_1/amd (141).

```
NaSi2Os
1.0
-3.588 -4.063 -0.153
1.521 -1.152 -5.076
3.977 -7.127 -0.088
Na Si Os
2 4 2
direct
0.500 0.500 0.000
0.250 0.750 0.500
0.875 0.125 0.250
0.875 0.625 0.250
0.375 0.125 0.750
0.875 0.125 0.750
0.000 0.000 0.000
0.750 0.250 0.500
```



No. 6
A plane-wave DFT calculation with GGA-PBE was carried out for crystalline NaSi3Os at its relaxed geometry.

Values from the calculation:
Its relative energy among the computed polymorphs is 881 kJ/mol of formula units. Its symmetry is Pm-3m (221).

```
NaSi3Os
1.0
4.609 0.000 0.000
0.000 4.609 0.000
0.000 0.000 4.609
Na Si Os
1 3 1
direct
0.000 0.000 0.000
0.000 0.500 0.000
0.000 0.000 0.500
0.500 0.000 0.000
0.500 0.500 0.500
```



No. 7
A plane-wave DFT calculation with GGA-PBE was carried out for crystalline Na3SiOs at its relaxed geometry.

Values from the calculation:
Its relative energy among the computed polymorphs is 34 kJ/mol of formula units. Its symmetry is Pm-3m (221).

```
Na3SiOs
1.0
5.426 0.000 0.000
0.000 5.426 0.000
0.000 0.000 5.426
Na Si Os
3 1 1
direct
0.000 0.500 0.000
0.000 0.000 0.500
0.500 0.000 0.000
0.500 0.500 0.500
0.000 0.000 0.000
```



No. 8
A plane-wave DFT calculation with GGA-PBE was carried out for crystalline NaSi3Os at its relaxed geometry.

Values from the calculation:
Its relative energy among the computed polymorphs is 0 kJ/mol of formula units. Its symmetry is Pm-3m (221).

```
NaSi3Os
1.0
4.727 0.000 0.000
0.000 4.727 0.000
0.000 0.000 4.727
Na Si Os
1 3 1
direct
0.500 0.500 0.500
0.000 0.500 0.000
0.000 0.000 0.500
0.500 0.000 0.000
0.000 0.000 0.000
```